# YPCl2 (PBE, relaxed)
data_YPCl2
_chemical_formula_sum 'Y2 P2 Cl4'
_symmetry_space_group_name_H-M 'I m m 2'
_symmetry_Int_Tables_number 44
_cell_length_a 3.409
_cell_length_b 4.948
_cell_length_c 14.797
_cell_angle_alpha 90.00
_cell_angle_beta 90.00
_cell_angle_gamma 90.00
loop_
_symmetry_equiv_pos_as_xyz
'x,y,z'
'-x,-y,z'
'-x,y,z'
'x,-y,z'
'x+1/2,y+1/2,z+1/2'
'-x+1/2,-y+1/2,z+1/2'
'-x+1/2,y+1/2,z+1/2'
'x+1/2,-y+1/2,z+1/2'
loop_
_atom_site_label
_atom_site_fract_x
_atom_site_fract_y
_atom_site_fract_z
_atom_site_occupancy
Y1 0.000 0.000 0.000 1
P1 0.000 0.500 0.344 1
Cl1 0.000 0.000 0.482 1
Cl2 0.000 0.500 0.637 1
# Raw formation energy   -3.71 eV per formula unit
# Crystal system   orthorhombic
# Theoretical density   2.54 g/cm3
# Energy relative to the lowest polymorph listed for this composition   357 meV/atom

---

# YPCl2 (PBE, relaxed)
data_YPCl2
_chemical_formula_sum 'Y1 P1 Cl2'
_symmetry_space_group_name_H-M 'P 1 2/m 1'
_symmetry_Int_Tables_number 10
_cell_length_a 4.426
_cell_length_b 4.369
_cell_length_c 5.107
_cell_angle_alpha 90.00
_cell_angle_beta 107.98
_cell_angle_gamma 90.00
loop_
_symmetry_equiv_pos_as_xyz
'x,y,z'
'-x,-y,-z'
'-x,y,-z'
'x,-y,z'
loop_
_atom_site_label
_atom_site_fract_x
_atom_site_fract_y
_atom_site_fract_z
_atom_site_occupancy
Y1 0.000 0.000 0.000 1
P1 0.500 0.500 0.000 1
Cl1 0.000 0.000 0.500 1
Cl2 0.500 0.500 0.500 1
# Raw formation energy   -3.98 eV per formula unit
# Crystal system   monoclinic
# Theoretical density   3.37 g/cm3
# Energy relative to the lowest polymorph listed for this composition   290 meV/atom

---

> raw formation energy of number 2 (YPCl2)?

-3.98 eV per formula unit

---

> The lowest energy relative to the lowest polymorph listed for this composition belongs to which entry?

number 2

---

Please write out number 1 again, unchanged.
# YPCl2 (PBE, relaxed)
data_YPCl2
_chemical_formula_sum 'Y2 P2 Cl4'
_symmetry_space_group_name_H-M 'I m m 2'
_symmetry_Int_Tables_number 44
_cell_length_a 3.409
_cell_length_b 4.948
_cell_length_c 14.797
_cell_angle_alpha 90.00
_cell_angle_beta 90.00
_cell_angle_gamma 90.00
loop_
_symmetry_equiv_pos_as_xyz
'x,y,z'
'-x,-y,z'
'-x,y,z'
'x,-y,z'
'x+1/2,y+1/2,z+1/2'
'-x+1/2,-y+1/2,z+1/2'
'-x+1/2,y+1/2,z+1/2'
'x+1/2,-y+1/2,z+1/2'
loop_
_atom_site_label
_atom_site_fract_x
_atom_site_fract_y
_atom_site_fract_z
_atom_site_occupancy
Y1 0.000 0.000 0.000 1
P1 0.000 0.500 0.344 1
Cl1 0.000 0.000 0.482 1
Cl2 0.000 0.500 0.637 1
# Raw formation energy   -3.71 eV per formula unit
# Crystal system   orthorhombic
# Theoretical density   2.54 g/cm3
# Energy relative to the lowest polymorph listed for this composition   357 meV/atom

---

> Number 1 is which compound?

YPCl2